First-principles (PBE-GGA) data for La2PtI after structural relaxation, as listed in Alexandria via LeMat-Bulk.

Computed properties:
The total energy is -22.34 eV per cell. The distance to the lowest polymorph of the same formula comes out at 0.000 eV per atom. Its raw formation energy is -1.22 eV per atom. The symmetry is No. 166.

Geometry as POSCAR:
```
La2PtI
1.0
2.1658 1.2505 8.2298
-2.1658 1.2505 8.2298
0.0000 -2.5009 8.2298
La Pt I
2 1 1
Cartesian
0.0000 0.0000 5.6625
0.0000 0.0000 19.0269
0.0000 0.0000 12.3447
0.0000 0.0000 0.0000
```